Density functional theory data (GGA-PBE) for an optimized crystal structure of Mg2PtS.

Cell: 6.0246 6.0246 6.8635 Å, 63.97 63.97 90.00°
Fractional positions:
Mg1 0.6056 0.1250 0.2500
Mg2 0.3750 0.3944 0.7500
Mg3 0.8750 0.8556 0.7500
Mg4 0.1444 0.6250 0.2500
Pt1 0.7500 0.2500 0.5000
Pt2 0.0000 0.0000 0.0000
S1 0.5000 0.5000 0.0000
S2 0.2500 0.7500 0.5000

SG = No. 122
size of the total moment = 0.000 Bohr magnetons per cell
raw formation energy = -614 meV/atom